# CrTcP2S PBE relaxed
# Formation energy (no corrections) = 523.6 kJ/mol of formula units
data_CrTcP2S
_chemical_formula_sum 'Cr1 Tc1 P2 S1'
_cell_length_a 4.446
_cell_length_b 4.446
_cell_length_c 5.046
_cell_angle_alpha 90.00
_cell_angle_beta 90.00
_cell_angle_gamma 90.00
_space_group_name_H-M_alt 'P 4/m m m'
_space_group_IT_number 123
_space_group_name_Hall '-P 4 2'
loop_
_atom_site_label
_atom_site_type_symbol
_atom_site_fract_x
_atom_site_fract_y
_atom_site_fract_z
_atom_site_occupancy
Cr1 Cr 0.000 0.000 0.000 1
Tc1 Tc 0.500 0.500 0.500 1
P1 P 0.000 0.500 0.500 1
S1 S 0.500 0.500 0.000 1

=====

# Pr6Nd12Sm PBE relaxed
# Energy of formation from the pure elements = 366 meV per atom
data_Pr6Nd12Sm
_chemical_formula_sum 'Pr18 Nd36 Sm3'
_cell_length_a 16.4492
_cell_length_b 16.4492
_cell_length_c 9.1663
_cell_angle_alpha 90.00
_cell_angle_beta 90.00
_cell_angle_gamma 120.00
_space_group_name_H-M_alt 'R -3 m'
_space_group_IT_number 166
_space_group_name_Hall '-R 3 2"'
loop_
_atom_site_label
_atom_site_type_symbol
_atom_site_fract_x
_atom_site_fract_y
_atom_site_fract_z
_atom_site_occupancy
Pr1 Pr 0.0793 0.5397 0.1810 1
Nd1 Nd 0.0000 0.3924 0.5000 1
Nd2 Nd 0.0854 0.1708 0.1685 1
Sm1 Sm 0.0000 0.0000 0.0000 1

=====

# ZnSi2Cl PBE relaxed
# Formation energy (no corrections) = 159.5 kJ/mol of formula units
data_ZnSi2Cl
_chemical_formula_sum 'Zn2 Si4 Cl2'
_cell_length_a 3.253
_cell_length_b 5.137
_cell_length_c 8.326
_cell_angle_alpha 90.00
_cell_angle_beta 90.00
_cell_angle_gamma 90.00
_space_group_name_H-M_alt 'C m m m'
_space_group_IT_number 65
_space_group_name_Hall '-C 2 2'
loop_
_atom_site_label
_atom_site_type_symbol
_atom_site_fract_x
_atom_site_fract_y
_atom_site_fract_z
_atom_site_occupancy
Zn1 Zn 0.000 0.000 0.000 1
Si1 Si 0.000 0.500 0.241 1
Cl1 Cl 0.000 0.000 0.500 1

=====

What did we get for energy relative to the lowest polymorph listed for this composition? Answer: 243, 241, 419 meV per atom, in the order shown.
What did we get for magnetic moment? Answer: 0.11, 0.00, 0.00 μB per cell, in the order shown.
What did we get for calculated volume? Answer: 19.9, 37.7, 17.4 Å³ per atom, in the order shown.